A relaxed structure of FeH3F, computed with GGA+U.

abc: 3.4415 3.4415 3.4415
angles: 90.00 90.00 90.00
Closest atoms and distances in Å follow each position.
Fractional positions:
1 Fe 0.0000 0.0000 0.0000  12 H 2.43
2 H 0.0000 0.5000 0.5000  2 F 1.72
3 H 0.5000 0.0000 0.5000  2 F 1.72
4 H 0.5000 0.5000 0.0000  2 F 1.72
5 F 0.5000 0.5000 0.5000  6 H 1.72

Values from the calculation:
N(E_F), states/eV/atom: 0.443
ΔE to the lowest computed polymorph, eV/atom: 0.7365
Total magnetic moment, μB/atom: 0.810
Electronic total energy, eV per cell: -12.58